1.
DFT (PBE) results for an optimized crystal structure of Tb2GaPt4.

Results
E_form ... -562 meV/atom
Fermi-level density of states ... 2.174 states/eV per cell
Calculated volume ... 22.42 Å³ per atom
Total magnetic moment ... 0.00 μB per cell

Cell lengths 4.6399, 4.6399, 7.9926 Å; angles 106.87, 106.87, 90.00 degrees
With the nearest neighbours (Å) after each atom.
Element x y z (fractional)
Tb 0.6413 0.6413 0.2826  1 Pt 2.74
Tb 0.3587 0.3587 0.7174  1 Pt 2.74
Ga 0.0000 0.0000 0.0000  6 Pt 2.32-2.49
Pt 0.8294 0.8294 0.6589  1 Ga 2.49, 1 Tb 2.74
Pt 0.1706 0.1706 0.3411  1 Ga 2.49, 1 Tb 2.74
Pt 0.0000 0.5000 0.0000  2 Ga 2.32
Pt 0.5000 0.0000 0.0000  2 Ga 2.32


2.
DFT (PBE) results for an optimized crystal structure of KYTeN2.

Results
Fermi-level density of states ... 2.567 states/eV per cell
Calculated volume ... 27.86 Å³ per atom
Raw total energy ... -25.85 eV per formula unit
Total magnetic moment ... 3.99 μB per cell

Cell lengths 4.7913, 4.7913, 6.0678 Å; angles 90.00, 90.00, 90.00 degrees
With the nearest neighbours (Å) after each atom.
Element x y z (fractional)
Y 0.0000 0.0000 0.0000  4 N 2.40
K 0.5000 0.5000 0.5000  4 Te 3.39
Te 0.0000 0.0000 0.5000  2 Y 3.03, 4 K 3.39
N 0.0000 0.5000 0.0000  2 Y 2.40
N 0.5000 0.0000 0.0000  2 Y 2.40


3.
DFT (PBE) results for an optimized crystal structure of LiLa2MgAu6.

Results
E_form ... -538 meV/atom
Fermi-level density of states ... 4.882 states/eV per cell
Calculated volume ... 23.42 Å³ per atom
Total magnetic moment ... 0.00 μB per cell

Cell lengths 7.1728, 6.5772, 6.5435 Å; angles 58.81, 71.43, 96.96 degrees
With the nearest neighbours (Å) after each atom.
Element x y z (fractional)
Li 0.5000 0.5000 0.0000  6 Au 2.51-2.53
La 0.1934 0.7474 0.5569  7 Au 3.13-3.47
La 0.8066 0.2526 0.4431  7 Au 3.13-3.47
Mg 0.0000 0.0000 0.0000  6 Au 2.63-2.73
Au 0.2362 0.7188 0.0318  1 Li 2.53, 1 Mg 2.63
Au 0.5910 0.7566 0.1581  1 Li 2.51, 1 Mg 2.73
Au 0.2386 0.2678 0.4824  1 Li 2.52, 1 Mg 2.63
Au 0.7638 0.2812 0.9682  1 Li 2.53, 1 Mg 2.63
Au 0.4090 0.2434 0.8419  1 Li 2.51, 1 Mg 2.73
Au 0.7614 0.7322 0.5176  1 Li 2.52, 1 Mg 2.63


4.
DFT (PBE) results for an optimized crystal structure of CsVIBr2.

Results
Fermi-level density of states ... 0.710 states/eV per cell
Calculated volume ... 33.78 Å³ per atom
Raw total energy ... -19.89 eV per formula unit
Total magnetic moment ... 3.00 μB per cell

Cell lengths 5.4164, 5.4164, 5.7571 Å; angles 90.00, 90.00, 90.00 degrees
With the nearest neighbours (Å) after each atom.
Element x y z (fractional)
Cs 0.5000 0.5000 0.5000  4 I 3.83, 8 Br 3.95
I 0.0000 0.0000 0.5000  2 V 2.88
Br 0.0000 0.5000 0.0000  2 V 2.71
Br 0.5000 0.0000 0.0000  2 V 2.71
V 0.0000 0.0000 0.0000  4 Br 2.71, 2 I 2.88


5.
DFT (PBE) results for an optimized crystal structure of RbBa2Na2.

Results
E_form ... 148 meV/atom
Fermi-level density of states ... 6.224 states/eV per cell
Calculated volume ... 60.09 Å³ per atom
Total magnetic moment ... 0.00 μB per cell

Cell lengths 4.5881, 4.5881, 14.6371 Å; angles 80.98, 80.98, 90.00 degrees
With the nearest neighbours (Å) after each atom.
Element x y z (fractional)
Na 0.7500 0.2500 0.5000  4 Na 3.24
Na 0.2500 0.7500 0.5000  4 Na 3.24
Ba 0.3702 0.3702 0.2596  4 Na 4.13, 4 Ba 4.59
Ba 0.6298 0.6298 0.7404  4 Na 4.13, 4 Ba 4.59
Rb 0.0000 0.0000 0.0000  4 Rb 4.59, 8 Ba 4.92


6.
DFT (PBE) results for an optimized crystal structure of InCoI2N.

Results
Fermi-level density of states ... 4.113 states/eV per cell
Calculated volume ... 23.22 Å³ per atom
Raw total energy ... -19.80 eV per formula unit
Total magnetic moment ... 0.00 μB per cell

Cell lengths 5.7081, 5.7081, 3.5628 Å; angles 90.00, 90.00, 90.00 degrees
With the nearest neighbours (Å) after each atom.
Element x y z (fractional)
I 0.0000 0.5000 0.0000  2 Co 2.85
I 0.5000 0.0000 0.0000  2 Co 2.85
N 0.0000 0.0000 0.5000  2 Co 1.78
Co 0.0000 0.0000 0.0000  2 N 1.78
In 0.5000 0.5000 0.5000  8 I 3.36, 2 In 3.56


7.
DFT (PBE) results for an optimized crystal structure of Be3Ni2Rh2.

Results
E_form ... -353 meV/atom
Fermi-level density of states ... 4.342 states/eV per cell
Calculated volume ... 10.71 Å³ per atom
Total magnetic moment ... 0.00 μB per cell

Cell lengths 3.8748, 3.8712, 6.1858 Å; angles 89.97, 108.24, 119.98 degrees
With the nearest neighbours (Å) after each atom.
Element x y z (fractional)
Be 0.0000 0.0000 0.0000  2 Ni 2.30, 6 Rh 2.42-2.43
Be 0.5115 0.2557 0.7675  1 Ni 2.12, 4 Rh 2.27-2.28
Be 0.4885 0.7443 0.2325  1 Ni 2.12, 4 Rh 2.27-2.28
Ni 0.2673 0.1335 0.3993  2 Be 2.12-2.30
Ni 0.7327 0.8665 0.6007  2 Be 2.12-2.30
Rh 0.7754 0.3878 0.1622  7 Be 2.27-2.43
Rh 0.2246 0.6122 0.8378  7 Be 2.27-2.43


8.
DFT (PBE) results for an optimized crystal structure of Lu2SiHg.

Results
Fermi-level density of states ... 3.192 states/eV per cell
Calculated volume ... 22.41 Å³ per atom
Raw total energy ... -16.57 eV per formula unit
Total magnetic moment ... 0.01 μB per cell

Cell lengths 3.5868, 3.5868, 6.9674 Å; angles 90.00, 90.00, 90.00 degrees
With the nearest neighbours (Å) after each atom.
Element x y z (fractional)
Si 0.5000 0.5000 0.0000  8 Lu 3.01
Lu 0.0000 0.0000 0.7673  4 Si 3.01, 4 Hg 3.15, 1 Lu 3.24
Lu 0.0000 0.0000 0.2327  4 Si 3.01, 4 Hg 3.15, 1 Lu 3.24
Hg 0.5000 0.5000 0.5000  8 Lu 3.15, 2 Si 3.48


9.
DFT (PBE) results for an optimized crystal structure of Pm4Nd7In.

Results
E_form ... 13 meV/atom
Fermi-level density of states ... 16.091 states/eV per cell
Calculated volume ... 34.38 Å³ per atom
Total magnetic moment ... 0.00 μB per cell

Cell lengths 6.5934, 6.6827, 11.9473 Å; angles 74.86, 54.61, 85.36 degrees
With the nearest neighbours (Å) after each atom.
Element x y z (fractional)
Pm 0.5485 0.6424 0.2677  1 In 3.31, 2 Pm 3.45-3.49, 7 Nd 3.46-3.65
Pm 0.4515 0.3576 0.7323  1 In 3.31, 2 Pm 3.45-3.49, 7 Nd 3.46-3.65
Pm 0.6064 0.8481 0.7192  8 Nd 3.42-3.77, 2 Pm 3.45-3.49, 1 In 3.72
Pm 0.3936 0.1519 0.2808  8 Nd 3.42-3.77, 2 Pm 3.45-3.49, 1 In 3.72
Nd 0.8216 0.5111 0.9317  6 Nd 3.41-3.81, 1 In 3.57, 4 Pm 3.62-3.77
Nd 0.1784 0.4889 0.0683  6 Nd 3.41-3.81, 1 In 3.57, 4 Pm 3.62-3.77
Nd 0.0530 0.2699 0.6328  5 Nd 3.45-3.77, 4 Pm 3.47-3.74
Nd 0.9470 0.7301 0.3672  5 Nd 3.45-3.77, 4 Pm 3.47-3.74
Nd 0.2605 0.7856 0.5911  5 Nd 3.41-3.74, 5 Pm 3.46-3.68
Nd 0.5000 0.0000 0.0000  2 In 3.30, 4 Pm 3.42-3.62
Nd 0.7395 0.2144 0.4089  5 Nd 3.41-3.74, 5 Pm 3.46-3.68
In 0.0000 0.0000 0.0000  4 Nd 3.30-3.57, 2 Pm 3.31


10.
DFT (PBE) results for an optimized crystal structure of AcCuCl4.

Results
Fermi-level density of states ... 0.000 states/eV per cell
Calculated volume ... 26.08 Å³ per atom
Raw total energy ... -26.11 eV per formula unit
Total magnetic moment ... 0.15 μB per cell

Cell lengths 6.6536, 6.6374, 8.5068 Å; angles 113.04, 113.10, 89.81 degrees
With the nearest neighbours (Å) after each atom.
Element x y z (fractional)
Ac 0.3740 0.6240 0.2480  8 Cl 2.97-3.05
Ac 0.6260 0.3760 0.7520  8 Cl 2.97-3.05
Cu 0.8797 0.1297 0.2593  4 Cl 2.33-2.37
Cu 0.1203 0.8703 0.7407  4 Cl 2.33-2.37
Cl 0.3165 0.9512 0.5912  1 Cu 2.33
Cl 0.9505 0.7769 0.0925  1 Cu 2.37
Cl 0.2253 0.3600 0.4088  1 Cu 2.33
Cl 0.3579 0.6843 0.9075  1 Cu 2.37
Cl 0.6835 0.0488 0.4088  1 Cu 2.33
Cl 0.7747 0.6400 0.5912  1 Cu 2.33
Cl 0.0495 0.2231 0.9075  1 Cu 2.37
Cl 0.6421 0.3157 0.0925  1 Cu 2.37


11.
DFT (PBE) results for an optimized crystal structure of TlFe3Cl12.

Results
Fermi-level density of states ... 8.630 states/eV per cell
Calculated volume ... 39.01 Å³ per atom
Raw total energy ... -60.94 eV per formula unit
Total magnetic moment ... 26.00 μB per cell

Cell lengths 11.1267, 11.1267, 13.2984 Å; angles 65.27, 65.27, 60.00 degrees
With the nearest neighbours (Å) after each atom.
Element x y z (fractional)
Tl 0.0608 0.0608 0.8176  9 Cl 3.39-3.46
Tl 0.5608 0.5608 0.3176  9 Cl 3.39-3.46
Fe 0.6819 0.3445 0.0002  4 Cl 2.13-2.17
Fe 0.1819 0.4734 0.5002  4 Cl 2.13-2.17
Fe 0.8445 0.1819 0.5002  4 Cl 2.13-2.17
Fe 0.3445 0.9734 0.0002  4 Cl 2.13-2.17
Fe 0.9734 0.6819 0.0002  4 Cl 2.13-2.17
Fe 0.4734 0.8445 0.5002  4 Cl 2.13-2.17
Cl 0.1280 0.1379 0.0106  1 Fe 2.17
Cl 0.2107 0.3067 0.6587  1 Fe 2.16
Cl 0.0184 0.9786 0.4901  1 Fe 2.13
Cl 0.8281 0.4037 0.8386  1 Fe 2.16
Cl 0.3281 0.4296 0.3386  1 Fe 2.16
Cl 0.5184 0.0129 0.9901  1 Fe 2.13
Cl 0.7107 0.3238 0.1587  1 Fe 2.16
Cl 0.9786 0.5129 0.4901  1 Fe 2.13
Cl 0.6280 0.2235 0.5106  1 Fe 2.17
Cl 0.8238 0.2107 0.6587  1 Fe 2.16
Cl 0.9037 0.3281 0.3386  1 Fe 2.16
Cl 0.2235 0.6379 0.5106  1 Fe 2.17
Cl 0.0129 0.4786 0.9901  1 Fe 2.13
Cl 0.7235 0.1280 0.0106  1 Fe 2.17
Cl 0.4037 0.9296 0.8386  1 Fe 2.16
Cl 0.3238 0.8067 0.1587  1 Fe 2.16
Cl 0.8067 0.7107 0.1587  1 Fe 2.16
Cl 0.4786 0.5184 0.9901  1 Fe 2.13
Cl 0.6379 0.6280 0.5106  1 Fe 2.17
Cl 0.9296 0.8281 0.8386  1 Fe 2.16
Cl 0.4296 0.9037 0.3386  1 Fe 2.16
Cl 0.1379 0.7235 0.0106  1 Fe 2.17
Cl 0.3067 0.8238 0.6587  1 Fe 2.16
Cl 0.5129 0.0184 0.4901  1 Fe 2.13


12.
DFT (PBE) results for an optimized crystal structure of Mn5Rh.

Results
E_form ... -55 meV/atom
Fermi-level density of states ... 4.969 states/eV per cell
Calculated volume ... 12.38 Å³ per atom
Total magnetic moment ... 1.14 μB per cell

Cell lengths 5.8722, 5.8722, 3.6061 Å; angles 90.00, 90.00, 143.31 degrees
With the nearest neighbours (Å) after each atom.
Element x y z (fractional)
Mn 0.3303 0.6697 0.5000  10 Mn 2.57-2.64, 2 Rh 2.61
Mn 0.1654 0.8346 0.0000  10 Mn 2.58-2.64, 2 Rh 2.61
Mn 0.0000 0.0000 0.5000  8 Mn 2.58-2.64, 4 Rh 2.58
Mn 0.8346 0.1654 0.0000  10 Mn 2.58-2.64, 2 Rh 2.61
Mn 0.6697 0.3303 0.5000  10 Mn 2.57-2.64, 2 Rh 2.61
Rh 0.5000 0.5000 0.0000  12 Mn 2.58-2.61